Entry 1
A relaxed structure of TmPaCo. Source: Alexandria via LeMat-Bulk, functional PBE.

Values from the calculation:
Symmetry: No. 107

CIF file:
```
data_TmPaCo
_cell_length_a 3.405
_cell_length_b 3.405
_cell_length_c 6.014
_cell_angle_alpha 106.44
_cell_angle_beta 106.44
_cell_angle_gamma 90.00
_space_group_name_H-M_alt 'P 1'
_space_group_IT_number 1
_space_group_name_Hall 'P 1'
loop_
_atom_site_label
_atom_site_fract_x
_atom_site_fract_y
_atom_site_fract_z
_atom_site_occupancy
Tm1 0.006 0.006 0.013 1
Pa1 0.296 0.296 0.593 1
Co1 0.697 0.697 0.394 1
```



Entry 2
A relaxed structure of TmPaCo. Source: Alexandria via LeMat-Bulk, functional PBE.

Values from the calculation:
Symmetry: No. 187

CIF file:
```
data_TmPaCo
_cell_length_a 4.667
_cell_length_b 4.179
_cell_length_c 4.179
_cell_angle_alpha 120.00
_cell_angle_beta 90.00
_cell_angle_gamma 90.00
_space_group_name_H-M_alt 'P 1'
_space_group_IT_number 1
_space_group_name_Hall 'P 1'
loop_
_atom_site_label
_atom_site_fract_x
_atom_site_fract_y
_atom_site_fract_z
_atom_site_occupancy
Co1 0.167 0.000 0.000 1
Tm1 0.667 0.667 0.333 1
Pa1 0.167 0.333 0.667 1
```



Among the structures above, stability is greatest for entry 1.